1.
AsOs3O: single point on PBEsol structure, SCAN.

Cell lengths 4.082, 4.082, 4.082 Å; angles 90.00, 90.00, 90.00 degrees
Positions (direct):
1 O 0.000 0.000 0.000
2 Os 0.000 0.500 0.000
3 Os 0.500 0.000 0.000
4 Os 0.000 0.000 0.500
5 As 0.500 0.500 0.500

- SG: No. 221
- DFT total energy: -235.97 eV/f.u.
- Total magnetization: 0.0 μB per cell
- Raw formation energy: 1.22 eV per atom

2.
LaTc8: single point on PBEsol structure, SCAN.

Cell lengths 4.083, 6.259, 6.259 Å; angles 83.89, 70.96, 70.96 degrees
Positions (direct):
1 La 0.000 0.000 0.000
2 Tc 0.000 0.645 0.355
3 Tc 0.000 0.355 0.645
4 Tc 0.306 0.000 0.387
5 Tc 0.306 0.387 0.000
6 Tc 0.645 0.355 0.355
7 Tc 0.355 0.645 0.645
8 Tc 0.694 0.613 0.000
9 Tc 0.694 0.000 0.613

- SG: No. 139
- DFT total energy: -322.94 eV/f.u.
- Total magnetization: 0.0 μB per cell
- Formation enthalpy at 0 K: 0.072 eV per atom

3.
RbSr3Ir: single point on PBEsol structure, SCAN.

Cell lengths 5.980, 5.980, 5.980 Å; angles 90.00, 90.00, 90.00 degrees
Positions (direct):
1 Sr 0.000 0.500 0.000
2 Sr 0.000 0.000 0.500
3 Sr 0.500 0.000 0.000
4 Rb 0.500 0.500 0.500
5 Ir 0.000 0.000 0.000

- SG: No. 221
- DFT total energy: -159.05 eV/f.u.
- Total magnetization: 0.2 μB per cell
- Formation enthalpy at 0 K: -0.078 eV per atom

4.
NiAgTe: single point on PBEsol structure, SCAN.

Cell lengths 4.268, 4.268, 4.268 Å; angles 60.00, 60.00, 60.00 degrees
Positions (direct):
1 Ni 0.250 0.250 0.250
2 Te 0.000 0.000 0.000
3 Ag 0.500 0.500 0.500

- SG: No. 216
- DFT total energy: -84.91 eV/f.u.
- E above lowest polymorph: 0.00 eV per formula unit
- Total magnetization: 0.0 μB per cell
- Raw formation energy: -0.04 eV per atom

5.
LaSc2Ni: single point on PBEsol structure, SCAN.

Cell lengths 4.073, 4.073, 5.955 Å; angles 110.00, 110.00, 90.00 degrees
Site moments in Bohr magnetons follow the coordinates.
Positions (direct):
1 Sc 0.750 0.250 0.500  -0.42
2 Sc 0.250 0.750 0.500  -0.42
3 Ni 0.000 0.000 0.000  -0.04
4 La 0.500 0.500 0.000  -0.03

- SG: No. 139
- DFT total energy: -87.17 eV/f.u.
- E above lowest polymorph: 1.45 eV per formula unit
- Total magnetization: 1.2 μB per cell
- Formation enthalpy at 0 K: 0.146 eV per atom

6.
Li2AgGe2: single point on PBEsol structure, SCAN.

Cell lengths 3.244, 6.974, 6.974 Å; angles 90.00, 90.00, 90.00 degrees
Positions (direct):
1 Li 0.500 0.325 0.175
2 Li 0.500 0.675 0.825
3 Li 0.500 0.175 0.675
4 Li 0.500 0.825 0.325
5 Ge 0.000 0.873 0.627
6 Ge 0.000 0.627 0.127
7 Ge 0.000 0.373 0.873
8 Ge 0.000 0.127 0.373
9 Ag 0.000 0.000 0.000
10 Ag 0.000 0.500 0.500

- SG: No. 127
- DFT total energy: -75.24 eV/f.u.
- Total magnetization: 0.0 μB per cell
- Formation enthalpy at 0 K: -0.184 eV per atom

7.
LiHg2Rh: single point on PBEsol structure, SCAN.

Cell lengths 3.119, 4.600, 5.185 Å; angles 106.78, 107.50, 90.00 degrees
Positions (direct):
1 Hg 0.753 0.299 0.507
2 Hg 0.989 0.935 0.979
3 Rh 0.246 0.795 0.491
4 Li 0.512 0.471 0.023

- SG: No. 8
- DFT total energy: -173.04 eV/f.u.
- Total magnetization: 0.0 μB per cell
- Formation enthalpy at 0 K: -0.137 eV per atom

8.
MgBiW2C: single point on PBEsol structure, SCAN.

Cell lengths 4.423, 5.112, 5.112 Å; angles 90.00, 90.00, 90.00 degrees
Site moments in Bohr magnetons follow the coordinates.
Positions (direct):
1 C 0.500 0.000 0.000  -0.28
2 Bi 0.000 0.000 0.000  0.02
3 Mg 0.500 0.500 0.500  -0.01
4 W 0.000 0.500 0.000  1.47
5 W 0.000 0.000 0.500  1.47

- SG: No. 123
- DFT total energy: -216.55 eV/f.u.
- Total magnetization: 3.4 μB per cell
- Formation enthalpy at 0 K: 3.295 eV per atom

9.
MgTeCl2: single point on PBEsol structure, SCAN.

Cell lengths 3.494, 3.494, 11.333 Å; angles 81.13, 81.13, 60.00 degrees
Site moments in Bohr magnetons follow the coordinates.
Positions (direct):
1 Cl 0.064 0.064 0.807  0.00
2 Cl 0.936 0.936 0.193  0.00
3 Te 0.500 0.500 0.500  0.24
4 Mg 0.000 0.000 0.000  0.00

- SG: No. 166
- DFT total energy: -60.17 eV/f.u.
- E above lowest polymorph: 1.31 eV per formula unit
- Total magnetization: 0.4 μB per cell
- Raw formation energy: -0.50 eV per atom

10.
Fe2Te: single point on PBEsol structure, SCAN.

Cell lengths 3.912, 3.912, 7.574 Å; angles 90.00, 90.00, 120.00 degrees
Site moments in Bohr magnetons follow the coordinates.
Positions (direct):
1 Fe 0.667 0.333 0.058  2.57
2 Fe 0.000 0.000 0.850  2.13
3 Fe 0.333 0.667 0.942  2.57
4 Fe 0.000 0.000 0.150  2.13
5 Te 0.333 0.667 0.303  -0.07
6 Te 0.667 0.333 0.697  -0.07

- SG: No. 164
- DFT total energy: -73.51 eV/f.u.
- Total magnetization: 9.1 μB per cell
- Raw formation energy: 0.00 eV per atom

11.
ScAg2Au: single point on PBEsol structure, SCAN.

Cell lengths 4.062, 4.062, 5.086 Å; angles 113.53, 113.53, 90.00 degrees
Positions (direct):
1 Ag 0.250 0.750 0.500
2 Ag 0.750 0.250 0.500
3 Sc 0.500 0.500 0.000
4 Au 0.000 0.000 0.000

- SG: No. 139
- DFT total energy: -147.98 eV/f.u.
- E above lowest polymorph: 0.03 eV per formula unit
- Total magnetization: 0.0 μB per cell
- Formation enthalpy at 0 K: -0.462 eV per atom

12.
Tl2OsCl: single point on PBEsol structure, SCAN.

Cell lengths 3.068, 3.068, 9.002 Å; angles 90.00, 90.00, 90.00 degrees
Site moments in Bohr magnetons follow the coordinates.
Positions (direct):
1 Tl 0.500 0.500 0.256  0.01
2 Tl 0.000 0.000 0.949  0.01
3 Cl 0.000 0.000 0.568  0.07
4 Os 0.500 0.500 0.727  0.68

- SG: No. 99
- DFT total energy: -221.51 eV/f.u.
- E above lowest polymorph: 1.27 eV per formula unit
- Total magnetization: 0.9 μB per cell
- Raw formation energy: 0.77 eV per atom